[1]
A plane-wave DFT calculation with PBE was carried out for a relaxed structure of Ba3Na2H2.

Cell lengths 6.1770, 4.4975, 10.1133 Å; angles 90.00, 107.68, 90.00 degrees
Atoms (fractional coordinates):
Ba1 0.0000 0.0000 0.0000
Ba2 0.3914 0.5000 0.7825
Ba3 0.6086 0.5000 0.2175
Na1 0.2062 0.0000 0.4112
Na2 0.7938 0.0000 0.5888
H1 0.2478 0.5000 0.0002
H2 0.7522 0.5000 0.9998

Calculated values
**SG**: P2/m (10)
**V**: 38.24 A^3/atom
**Crystal system**: monoclinic
**N(E_F)**: 4.5 states/eV/cell
**E_tot**: -2.360 eV/atom

---

[2]
A plane-wave DFT calculation with PBE was carried out for a relaxed structure of Ca2TlAu7.

Cell lengths 7.3790, 7.3790, 7.3790 Å; angles 60.00, 60.00, 60.00 degrees
Atoms (fractional coordinates):
Ca1 0.2500 0.2500 0.2500
Ca2 0.7500 0.7500 0.7500
Tl1 0.0000 0.0000 0.0000
Au1 0.2527 0.2527 0.7473
Au2 0.2527 0.7473 0.2527
Au3 0.2527 0.7473 0.7473
Au4 0.5000 0.5000 0.5000
Au5 0.7473 0.2527 0.2527
Au6 0.7473 0.2527 0.7473
Au7 0.7473 0.7473 0.2527

Calculated values
**SG**: Fm-3m (225)
**V**: 28.41 A^3/atom
**Crystal system**: cubic
**Energy relative to the elements**: 0.022 eV per atom
**N(E_F)**: 3.1 states/eV/cell
**E_tot**: -2.910 eV/atom